A relaxed CuTeS2 crystal, computed with PBE.

a b c (Å): 6.580 6.580 6.580
angles (deg): 90.00 90.00 90.00
Space group Fm-3m (No. 225)
Asymmetric unit:
Cu: 0.000 0.000 0.000 x4
Te: 0.000 0.000 0.500 x4
S: 0.250 0.250 0.250 x8

Output
Its total energy is -3.38 eV per atom. The calculation puts the formation energy from raw total energies at 491 meV/atom. For the volume, the calculation gives 17.809 Å³/atom. The distance to the lowest polymorph of the same formula comes out at 1.75 eV/f.u.